Record 1
Here is a geometry-optimized Nd3CdHg4 structure from Alexandria. Energies are from GGA-PBE.

Structure (POSCAR):
```
Nd3CdHg4
1.0
-1.894 3.616 8.522
1.894 -3.616 8.522
1.894 3.616 -8.522
Nd Cd Hg
3 1 4
Direct
0.000 0.000 0.000
0.286 0.786 0.500
0.714 0.214 0.500
0.500 0.500 0.000
0.090 0.374 0.716
0.341 0.626 0.716
0.659 0.374 0.284
0.910 0.626 0.284
```

- space-group type = Immm, No. 71
- relative energy among the computed polymorphs (meV/atom) = 117.0
- formation energy from the elements (eV/atom) = -0.3168

Record 2
Here is a geometry-optimized LaHf2CrSe structure from Alexandria. Energies are from GGA-PBE.

Structure (POSCAR):
```
LaHf2CrSe
1.0
5.126 0.000 0.000
0.000 5.126 0.000
0.000 0.000 4.476
La Hf Cr Se
1 2 1 1
Direct
0.000 0.000 0.000
0.000 0.500 0.500
0.500 0.000 0.500
0.500 0.500 0.000
0.500 0.500 0.500
```

- space-group type = P4/mmm, No. 123
- uncorrected formation energy (meV/atom) = 263

Record 3
Here is a geometry-optimized KHfIn structure from Alexandria. Energies are from GGA-PBE.

Structure (POSCAR):
```
KHfIn
1.0
3.199 0.000 0.000
1.589 6.786 0.000
0.034 3.113 8.260
K Hf In
2 2 2
Direct
0.000 0.000 0.000
0.283 0.398 0.208
0.301 0.384 0.611
0.985 0.014 0.597
0.603 0.784 0.406
0.683 0.614 0.801
```

- space-group type = P1, No. 1
- relative energy among the computed polymorphs (meV/atom) = 185.4
- formation energy from the elements (eV/atom) = 0.1950

Record 4
Here is a geometry-optimized NdPa2Rh structure from Alexandria. Energies are from GGA-PBE.

Structure (POSCAR):
```
NdPa2Rh
1.0
1.792 1.035 9.454
-1.792 1.035 9.454
0.000 -2.069 9.454
Nd Pa Rh
1 2 1
Direct
0.000 0.000 0.000
0.233 0.233 0.233
0.767 0.767 0.767
0.500 0.500 0.500
```

- space-group type = R-3m, No. 166
- formation energy from the elements (eV/atom) = -0.1010

Record 5
Here is a geometry-optimized Zr2RhCl structure from Alexandria. Energies are from GGA-PBE.

Structure (POSCAR):
```
Zr2RhCl
1.0
3.088 0.000 0.000
0.000 3.088 0.000
0.000 0.000 7.672
Zr Rh Cl
2 1 1
Direct
0.000 0.000 0.237
0.000 0.000 0.763
0.500 0.500 0.000
0.500 0.500 0.500
```

- space-group type = P4/mmm, No. 123
- uncorrected formation energy (meV/atom) = -637
- relative energy among the computed polymorphs (meV/atom) = 95.1

Record 6
Here is a geometry-optimized MnCu5Au7 structure from Alexandria. Energies are from GGA-PBE.

Structure (POSCAR):
```
MnCu5Au7
1.0
5.244 -4.417 0.000
5.244 4.417 0.000
-2.464 0.000 4.565
Mn Cu Au
1 5 7
Direct
0.000 0.000 0.000
0.197 0.197 0.692
0.439 0.954 0.943
0.443 0.957 0.446
0.954 0.439 0.943
0.957 0.443 0.446
0.131 0.781 0.453
0.267 0.621 0.942
0.299 0.299 0.289
0.610 0.610 0.609
0.621 0.267 0.942
0.706 0.706 0.201
0.781 0.131 0.453
```

- space-group type = Cm, No. 8
- formation energy from the elements (eV/atom) = 0.0240

Record 7
Here is a geometry-optimized U3Ni2As4S2 structure from Alexandria. Energies are from GGA-PBE.

Structure (POSCAR):
```
U3Ni2As4S2
1.0
-1.994 1.994 12.890
1.994 -1.994 12.890
1.994 1.994 -12.890
U Ni As S
3 2 4 2
Direct
0.000 0.000 0.000
0.185 0.185 0.000
0.815 0.815 0.000
0.455 0.455 0.000
0.545 0.545 0.000
0.096 0.596 0.500
0.404 0.904 0.500
0.596 0.096 0.500
0.904 0.404 0.500
0.293 0.293 0.000
0.707 0.707 0.000
```

- space-group type = I4/mmm, No. 139
- uncorrected formation energy (meV/atom) = -729

Record 8
Here is a geometry-optimized Ho4Sb2C structure from Alexandria. Energies are from GGA-PBE.

Structure (POSCAR):
```
Ho4Sb2C
1.0
6.948 0.000 0.000
0.000 6.576 0.000
-2.686 0.000 8.160
Ho Sb C
8 4 2
Direct
0.005 0.001 0.238
0.005 0.499 0.238
0.397 0.250 0.575
0.416 0.250 0.130
0.584 0.750 0.870
0.603 0.750 0.425
0.995 0.501 0.762
0.995 0.999 0.762
0.227 0.750 0.554
0.272 0.750 0.069
0.728 0.250 0.931
0.773 0.250 0.446
0.229 0.250 0.304
0.771 0.750 0.696
```

- space-group type = P2_1/m, No. 11
- uncorrected formation energy (meV/atom) = -655
- relative energy among the computed polymorphs (meV/atom) = 121.1

Record 9
Here is a geometry-optimized Sm8CS4N3 structure from Alexandria. Energies are from GGA-PBE.

Structure (POSCAR):
```
Sm8CS4N3
1.0
3.755 2.168 6.449
-3.755 2.168 6.449
0.000 -4.336 6.449
Sm C S N
8 1 4 3
Direct
0.237 0.237 0.237
0.238 0.738 0.738
0.262 0.262 0.762
0.262 0.762 0.262
0.738 0.238 0.738
0.738 0.738 0.238
0.762 0.262 0.262
0.763 0.763 0.763
0.500 0.500 0.500
0.000 0.000 0.000
0.000 0.500 0.500
0.500 0.000 0.500
0.500 0.500 0.000
0.000 0.000 0.500
0.000 0.500 0.000
0.500 0.000 0.000
```

- space-group type = R-3m, No. 166
- uncorrected formation energy (meV/atom) = -1641

Record 10
Here is a geometry-optimized PuThBiSe structure from Alexandria. Energies are from GGA-PBE.

Structure (POSCAR):
```
PuThBiSe
1.0
0.000 3.797 3.797
3.797 0.000 3.797
3.797 3.797 0.000
Pu Th Bi Se
1 1 1 1
Direct
0.000 0.000 0.000
0.500 0.500 0.500
0.250 0.250 0.250
0.750 0.750 0.750
```

- space-group type = F-43m, No. 216
- uncorrected formation energy (meV/atom) = -817

Record 11
Here is a geometry-optimized KTlHg4Pd2 structure from Alexandria. Energies are from GGA-PBE.

Structure (POSCAR):
```
KTlHg4Pd2
1.0
5.368 0.000 0.000
0.000 5.368 0.000
0.000 0.000 8.208
K Tl Hg Pd
1 1 4 2
Direct
0.000 0.000 0.000
0.000 0.000 0.500
0.000 0.500 0.282
0.000 0.500 0.718
0.500 0.000 0.282
0.500 0.000 0.718
0.500 0.500 0.329
0.500 0.500 0.671
```

- space-group type = P4/mmm, No. 123
- formation energy from the elements (eV/atom) = -0.0072

Record 12
Here is a geometry-optimized Rb2LaPrO4 structure from Alexandria. Energies are from GGA-PBE.

Structure (POSCAR):
```
Rb2LaPrO4
1.0
6.457 0.000 0.000
0.000 3.728 0.000
-2.154 0.000 6.611
Rb La Pr O
2 1 1 4
Direct
0.000 0.000 0.000
0.500 0.500 0.000
0.000 0.500 0.500
0.500 0.000 0.500
0.228 0.000 0.681
0.274 0.500 0.318
0.726 0.500 0.682
0.772 0.000 0.319
```

- space-group type = P2/m, No. 10
- uncorrected formation energy (meV/atom) = -2571

For the records above, the corresponding total DFT energy (no corrections) values read -2.37 -7.33 -4.40 -7.88 -7.21 -4.02 -7.30 -5.77 -7.17 -8.10 -1.89 -6.51 eV per atom.
For the records above, the corresponding total magnetization values read 0.0 0.0 0.0 0.0 0.0 4.6 6.3 0.0 0.0 6.8 0.0 0.0 μB per formula unit.
For the records above, the corresponding Fermi-level density of states values read 0.47 1.59 0.19 1.81 0.73 0.31 1.83 0.47 0.22 1.94 0.52 0.00 states/eV/atom.